1.
A relaxed V2GaAu crystal. Source: Alexandria via LeMat-Bulk, functional PBE.

a b c (Å): 7.0718 7.0718 5.6340
angles (deg): 51.13 51.13 90.00
Atoms (fractional coordinates):
Au  0.7500  0.2500  0.5000
Au  0.0000  0.0000  0.0000
Ga  0.5000  0.5000  0.0000
Ga  0.2500  0.7500  0.5000
V  0.8750  0.8699  0.7500
V  0.3750  0.3801  0.7500
V  0.1301  0.6250  0.2500
V  0.6199  0.1250  0.2500

Values from the calculation:
total moment: 0.00 Bohr magnetons per cell
formation energy from the elements: 130 kJ/mol of formula units
SG: I-42d, No. 122

***

2.
A relaxed YCrMoAs2 crystal. Source: Alexandria via LeMat-Bulk, functional PBE.

a b c (Å): 5.1749 4.4702 5.1749
angles (deg): 90.00 90.00 90.00
Site moments in Bohr magnetons follow the coordinates.
Atoms (fractional coordinates):
Cr  0.0000  0.5000  0.0000  0.17
As  0.0000  0.0000  0.5000  0.02
As  0.5000  0.0000  0.0000  0.02
Mo  0.5000  0.5000  0.5000  -0.10
Y  0.0000  0.0000  0.0000  0.06

Values from the calculation:
total moment: 0.13 Bohr magnetons per cell
formation energy from the elements: 942 kJ/mol of formula units
SG: P4/mmm, No. 123

***

3.
A relaxed Zr3N4 crystal. Source: Alexandria via LeMat-Bulk, functional PBE.

a b c (Å): 5.8981 5.8981 5.8981
angles (deg): 109.47 109.47 109.47
Atoms (fractional coordinates):
N  0.3628  0.3628  0.3628
N  0.0000  0.5000  0.1372
N  0.8628  0.8628  0.8628
N  0.5000  0.6372  0.0000
N  0.6372  0.0000  0.5000
N  0.5000  0.1372  0.0000
N  0.1372  0.0000  0.5000
N  0.0000  0.5000  0.6372
Zr  0.8750  0.1250  0.2500
Zr  0.1250  0.2500  0.8750
Zr  0.2500  0.8750  0.1250
Zr  0.3750  0.7500  0.6250
Zr  0.6250  0.3750  0.7500
Zr  0.7500  0.6250  0.3750

Values from the calculation:
E_form (uncorrected): -1435 meV/atom
total moment: 0.00 Bohr magnetons per cell
polymorph energy (0 for the lowest one): 45.1 meV per atom
SG: I-43d, No. 220

***

4.
A relaxed TaSiS2N crystal. Source: Alexandria via LeMat-Bulk, functional PBE.

a b c (Å): 4.9127 4.9127 3.8798
angles (deg): 90.00 90.00 90.00
Atoms (fractional coordinates):
S  0.0000  0.5000  0.0000
S  0.5000  0.0000  0.0000
Ta  0.0000  0.0000  0.0000
N  0.0000  0.0000  0.5000
Si  0.5000  0.5000  0.5000

Values from the calculation:
E_form (uncorrected): 112 meV/atom
total moment: 0.00 Bohr magnetons per cell
polymorph energy (0 for the lowest one): 0.0 meV per atom
SG: P4/mmm, No. 123

***

5.
A relaxed Tl2POsPd crystal. Source: Alexandria via LeMat-Bulk, functional PBE.

a b c (Å): 5.2364 4.4313 5.2364
angles (deg): 90.00 90.00 90.00
Site moments in Bohr magnetons follow the coordinates.
Atoms (fractional coordinates):
Tl  0.5000  0.0000  0.0000  -0.03
Tl  0.0000  0.0000  0.5000  0.01
Os  0.5000  0.5000  0.5000  2.38
Pd  0.0000  0.5000  0.0000  0.10
P  0.0000  0.0000  0.0000  0.02

Values from the calculation:
total moment: 2.74 Bohr magnetons per cell
formation energy from the elements: 599 kJ/mol of formula units
SG: P4/mmm, No. 123

***

6.
A relaxed ZnCrSb2 crystal. Source: Alexandria via LeMat-Bulk, functional PBE.

a b c (Å): 4.6426 4.6486 3.9422
angles (deg): 90.00 90.00 90.00
Site moments in Bohr magnetons follow the coordinates.
Atoms (fractional coordinates):
Sb  0.5000  0.5000  0.0000  -0.06
Sb  0.0000  0.0000  0.0000  -0.06
Zn  0.5000  0.0000  0.5000  0.00
Cr  0.0000  0.5000  0.5000  3.64

Values from the calculation:
E_form (uncorrected): 302 meV/atom
total moment: 3.85 Bohr magnetons per cell
SG: P4/mmm, No. 123

***

7.
A relaxed BaTlTc2 crystal. Source: Alexandria via LeMat-Bulk, functional PBE.

a b c (Å): 3.1399 3.1399 9.4989
angles (deg): 90.00 90.00 114.83
Atoms (fractional coordinates):
Tc  0.0000  0.0000  0.0166
Tc  0.0000  0.0000  0.4834
Ba  0.5000  0.5000  0.7500
Tl  0.5000  0.5000  0.2500

Values from the calculation:
total moment: 0.00 Bohr magnetons per cell
formation energy from the elements: 472 kJ/mol of formula units
polymorph energy (0 for the lowest one): 913.2 meV per atom
SG: Cmmm, No. 65

***

8.
A relaxed LiTmSi2Pt5 crystal. Source: Alexandria via LeMat-Bulk, functional PBE.

a b c (Å): 3.9598 3.9598 11.4852
angles (deg): 90.00 90.00 90.00
Atoms (fractional coordinates):
Pt  0.5000  0.0000  0.8164
Pt  0.5000  0.5000  0.5000
Pt  0.0000  0.5000  0.8164
Pt  0.5000  0.0000  0.1836
Pt  0.0000  0.5000  0.1836
Li  0.0000  0.0000  0.5000
Si  0.5000  0.5000  0.7013
Si  0.5000  0.5000  0.2987
Tm  0.0000  0.0000  0.0000

Values from the calculation:
E_form (uncorrected): -733 meV/atom
total moment: 0.00 Bohr magnetons per cell
SG: P4/mmm, No. 123

***

9.
A relaxed LiH2IO crystal. Source: Alexandria via LeMat-Bulk, functional PBE.

a b c (Å): 3.9464 5.5758 7.6532
angles (deg): 90.00 90.00 110.73
Atoms (fractional coordinates):
O  0.0000  0.0000  0.5000
O  0.0000  0.0000  0.0000
Li  0.5663  0.1326  0.2500
Li  0.4337  0.8674  0.7500
H  0.9140  0.8280  0.0475
H  0.9140  0.8280  0.4525
H  0.0860  0.1720  0.5475
H  0.0860  0.1720  0.9525
I  0.2828  0.5657  0.2500
I  0.7172  0.4343  0.7500

Values from the calculation:
total moment: 0.00 Bohr magnetons per cell
polymorph energy (0 for the lowest one): 372.8 meV per atom
SG: Cmcm, No. 63

***

10.
A relaxed ReAgBi2Sb crystal. Source: Alexandria via LeMat-Bulk, functional PBE.

a b c (Å): 5.4111 5.2067 5.4111
angles (deg): 90.00 90.00 90.00
Site moments in Bohr magnetons follow the coordinates.
Atoms (fractional coordinates):
Bi  0.0000  0.0000  0.5000  -0.08
Bi  0.5000  0.0000  0.0000  -0.04
Sb  0.5000  0.5000  0.5000  -0.05
Re  0.0000  0.5000  0.0000  3.02
Ag  0.0000  0.0000  0.0000  0.05

Values from the calculation:
E_form (uncorrected): 1449 meV/atom
total moment: 3.45 Bohr magnetons per cell
SG: P4/mmm, No. 123

***

11.
A relaxed Pd2Br2Cl7 crystal. Source: Alexandria via LeMat-Bulk, functional PBE.

a b c (Å): 9.4171 11.9974 5.1859
angles (deg): 90.00 90.00 87.15
Atoms (fractional coordinates):
Br  0.5277  0.8672  0.2230
Br  0.5277  0.3672  0.2770
Br  0.4723  0.6328  0.7230
Br  0.4723  0.1328  0.7770
Pd  0.8833  0.1904  0.5140
Pd  0.8833  0.6904  0.9860
Pd  0.1167  0.8096  0.4860
Pd  0.1167  0.3096  0.0140
Cl  0.0954  0.7942  0.9871
Cl  0.9046  0.2058  0.0129
Cl  0.6774  0.0918  0.4960
Cl  0.2633  0.1333  0.0265
Cl  0.3226  0.4082  0.9960
Cl  0.7367  0.8667  0.9735
Cl  0.3226  0.9082  0.5040
Cl  0.7367  0.3667  0.5265
Cl  0.0000  0.0000  0.5000
Cl  0.0954  0.2942  0.5129
Cl  0.0000  0.5000  0.0000
Cl  0.9046  0.7058  0.4871
Cl  0.2633  0.6333  0.4735
Cl  0.6774  0.5918  0.0040

Values from the calculation:
E_form (uncorrected): -218 meV/atom
total moment: 0.00 Bohr magnetons per cell
SG: P2_1/c, No. 14

***

12.
A relaxed MgTl2Pb6 crystal. Source: Alexandria via LeMat-Bulk, functional PBE.

a b c (Å): 5.0878 7.6014 14.8445
angles (deg): 149.62 99.87 90.00
Atoms (fractional coordinates):
Pb  0.1066  0.2443  0.2131
Pb  0.8934  0.7557  0.7869
Pb  0.3364  0.8484  0.6728
Pb  0.4458  0.6120  0.8916
Pb  0.5542  0.3880  0.1084
Pb  0.6636  0.1516  0.3272
Tl  0.7814  0.9584  0.5628
Tl  0.2186  0.0416  0.4372
Mg  0.0000  0.5000  0.0000

Values from the calculation:
total moment: 0.00 Bohr magnetons per cell
formation energy from the elements: -4 kJ/mol of formula units
polymorph energy (0 for the lowest one): 0.0 meV per atom
SG: C2/m, No. 12